(1)
Compound: Nd3B2Rh4
Source: Alexandria via LeMat-Bulk
Functional: PBE-GGA
Structure: optimized geometry

Properties
**Uncorrected energy**: -6.90 eV/atom
**Crystal system**: monoclinic
**Density**: 8.71 g/cm³
**Total magnetization**: 0.000 μB per atom

Cell lengths 5.593, 5.593, 8.281 Å; angles 105.62, 105.62, 41.74 degrees
Positions (direct):
Nd1 0.000 0.000 0.000
Nd2 0.390 0.390 0.303
Nd3 0.610 0.610 0.697
B1 0.321 0.321 0.660
B2 0.679 0.679 0.340
Rh1 0.153 0.153 0.426
Rh2 0.290 0.290 0.899
Rh3 0.710 0.710 0.101
Rh4 0.847 0.847 0.574

(2)
Compound: NaPt
Source: Alexandria via LeMat-Bulk
Functional: PBE-GGA
Structure: optimized geometry

Properties
**Uncorrected energy**: -3.85 eV/atom
**Crystal system**: trigonal
**Density**: 10.56 g/cm³
**Total magnetization**: 0.003 μB per atom

Cell lengths 2.844, 2.844, 14.682 Å; angles 90.00, 90.00, 120.00 degrees
Positions (direct):
Na1 0.000 0.000 0.000
Na2 0.333 0.667 0.667
Na3 0.667 0.333 0.333
Pt1 0.000 0.000 0.500
Pt2 0.333 0.667 0.167
Pt3 0.667 0.333 0.833

(3)
Compound: RbY4ErS8
Source: Alexandria via LeMat-Bulk
Functional: PBE-GGA
Structure: optimized geometry

Properties
**Crystal system**: trigonal
**Formation energy (no corrections)**: -26.69 eV/f.u.
**Density**: 3.59 g/cm³
**Total magnetization**: 0.000 μB per atom

Cell lengths 8.248, 8.248, 8.248 Å; angles 60.32, 60.32, 60.32 degrees
Positions (direct):
Rb1 0.000 0.000 0.000
Y1 0.109 0.628 0.628
Y2 0.248 0.248 0.248
Y3 0.628 0.109 0.628
Y4 0.628 0.628 0.109
Er1 0.628 0.628 0.628
S1 0.381 0.381 0.381
S2 0.381 0.381 0.851
S3 0.381 0.851 0.381
S4 0.431 0.852 0.852
S5 0.851 0.381 0.381
S6 0.852 0.431 0.852
S7 0.852 0.852 0.431
S8 0.855 0.855 0.855

(4)
Compound: AlCr2Re
Source: Alexandria via LeMat-Bulk
Functional: PBE-GGA
Structure: optimized geometry

Properties
**Uncorrected energy**: -8.82 eV/atom
**Crystal system**: orthorhombic
**Density**: 9.85 g/cm³
**Total magnetization**: 0.000 μB per atom

Cell lengths 3.000, 4.285, 8.315 Å; angles 90.00, 90.00, 90.00 degrees
Positions (direct):
Al1 0.000 0.000 0.000
Al2 0.500 0.500 0.000
Cr1 0.000 0.500 0.250
Cr2 0.000 0.500 0.750
Cr3 0.500 0.000 0.250
Cr4 0.500 0.000 0.750
Re1 0.000 0.000 0.500
Re2 0.500 0.500 0.500

(5)
Compound: TlFe2Hg
Source: Alexandria via LeMat-Bulk
Functional: PBE-GGA
Structure: optimized geometry

Properties
**Crystal system**: monoclinic
**Excess energy over the best structure of this formula in the dataset**: 211 meV per atom
**Density**: 12.24 g/cm³
**Total magnetization**: 1.362 μB per atom

Cell lengths 5.856, 8.156, 2.936 Å; angles 90.00, 90.39, 90.00 degrees
Positions (direct):
Tl1 0.000 0.000 0.000
Tl2 0.500 0.500 0.000
Fe1 0.250 0.250 0.500
Fe2 0.250 0.750 0.500
Fe3 0.750 0.250 0.500
Fe4 0.750 0.750 0.500
Hg1 0.000 0.500 0.000
Hg2 0.500 0.000 0.000

(6)
Compound: La5ThN5
Source: Alexandria via LeMat-Bulk
Functional: PBE-GGA
Structure: optimized geometry

Properties
**Crystal system**: monoclinic
**Formation energy (no corrections)**: -13.94 eV/f.u.
**Density**: 7.56 g/cm³
**Total magnetization**: 0.000 μB per atom

Cell lengths 6.453, 6.453, 7.431 Å; angles 106.79, 106.79, 48.27 degrees
Positions (direct):
La1 0.000 0.000 0.000
La2 0.326 0.326 0.172
La3 0.329 0.329 0.657
La4 0.671 0.671 0.343
La5 0.674 0.674 0.828
Th1 0.000 0.000 0.500
N1 0.157 0.157 0.819
N2 0.164 0.164 0.339
N3 0.500 0.500 0.500
N4 0.836 0.836 0.661
N5 0.843 0.843 0.181

(7)
Compound: Ti3IrPd
Source: Alexandria via LeMat-Bulk
Functional: PBE-GGA
Structure: optimized geometry

Properties
**Crystal system**: cubic
**Excess energy over the best structure of this formula in the dataset**: 813 meV per atom
**Density**: 7.04 g/cm³
**Total magnetization**: 0.000 μB per atom

Cell lengths 4.708, 4.708, 4.708 Å; angles 90.00, 90.00, 90.00 degrees
Positions (direct):
Ti1 0.000 0.000 0.500
Ti2 0.000 0.500 0.000
Ti3 0.500 0.000 0.000
Ir1 0.000 0.000 0.000
Pd1 0.500 0.500 0.500

(8)
Compound: La7Ho2Er
Source: Alexandria via LeMat-Bulk
Functional: PBE-GGA
Structure: optimized geometry

Properties
**Uncorrected energy**: -4.22 eV/atom
**Crystal system**: orthorhombic
**Density**: 5.76 g/cm³
**Total magnetization**: 0.000 μB per atom

Cell lengths 9.385, 9.385, 5.776 Å; angles 90.00, 90.00, 123.65 degrees
Positions (direct):
La1 0.000 0.000 0.000
La2 0.207 0.432 0.000
La3 0.271 0.729 0.500
La4 0.432 0.207 0.000
La5 0.568 0.793 0.000
La6 0.729 0.271 0.500
La7 0.793 0.568 0.000
Ho1 0.206 0.794 0.000
Ho2 0.794 0.206 0.000
Er1 0.500 0.500 0.500

(9)
Compound: CdTe2Se
Source: Alexandria via LeMat-Bulk
Functional: PBE-GGA
Structure: optimized geometry

Properties
**Crystal system**: tetragonal
**Formation energy (no corrections)**: 1.02 eV/f.u.
**Density**: 7.32 g/cm³
**Total magnetization**: 0.000 μB per atom

Cell lengths 3.616, 3.616, 7.752 Å; angles 90.00, 90.00, 90.00 degrees
Positions (direct):
Cd1 0.000 0.000 0.000
Te1 0.500 0.500 0.255
Te2 0.500 0.500 0.745
Se1 0.000 0.000 0.500

(10)
Compound: SmLuO3
Source: Alexandria via LeMat-Bulk
Functional: PBE-GGA
Structure: optimized geometry

Properties
**Crystal system**: orthorhombic
**Formation energy (no corrections)**: -17.68 eV/f.u.
**Density**: 8.81 g/cm³
**Total magnetization**: 0.000 μB per atom

Cell lengths 5.945, 8.323, 5.687 Å; angles 90.00, 90.00, 90.00 degrees
Positions (direct):
Sm1 0.055 0.250 0.020
Sm2 0.445 0.750 0.520
Sm3 0.555 0.250 0.480
Sm4 0.945 0.750 0.980
Lu1 0.000 0.000 0.500
Lu2 0.000 0.500 0.500
Lu3 0.500 0.000 0.000
Lu4 0.500 0.500 0.000
O1 0.063 0.750 0.365
O2 0.194 0.572 0.808
O3 0.194 0.928 0.808
O4 0.306 0.072 0.308
O5 0.306 0.428 0.308
O6 0.437 0.250 0.865
O7 0.563 0.750 0.135
O8 0.694 0.572 0.692
O9 0.694 0.928 0.692
O10 0.806 0.072 0.192
O11 0.806 0.428 0.192
O12 0.937 0.250 0.635

(11)
Compound: Li2Sm3YS6
Source: Alexandria via LeMat-Bulk
Functional: PBE-GGA
Structure: optimized geometry

Properties
**Crystal system**: monoclinic
**Formation energy (no corrections)**: -22.71 eV/f.u.
**Density**: 4.80 g/cm³
**Total magnetization**: 0.000 μB per atom

Cell lengths 6.827, 6.827, 6.785 Å; angles 99.64, 99.64, 119.99 degrees
Positions (direct):
Li1 0.167 0.833 0.000
Li2 0.833 0.167 0.000
Sm1 0.000 0.000 0.500
Sm2 0.332 0.668 0.500
Sm3 0.668 0.332 0.500
Y1 0.500 0.500 0.000
S1 0.084 0.420 0.762
S2 0.244 0.244 0.240
S3 0.420 0.084 0.762
S4 0.580 0.916 0.238
S5 0.756 0.756 0.760
S6 0.916 0.580 0.238

(12)
Compound: BaSrAu
Source: Alexandria via LeMat-Bulk
Functional: PBE-GGA
Structure: optimized geometry

Properties
**Crystal system**: monoclinic
**Excess energy over the best structure of this formula in the dataset**: 16 meV per atom
**Density**: 5.43 g/cm³
**Total magnetization**: 0.000 μB per atom

Cell lengths 8.016, 6.715, 12.211 Å; angles 90.00, 128.31, 90.00 degrees
Positions (direct):
Ba1 0.185 0.146 0.378
Ba2 0.185 0.354 0.878
Ba3 0.815 0.646 0.122
Ba4 0.815 0.854 0.622
Sr1 0.333 0.631 0.631
Sr2 0.333 0.869 0.131
Sr3 0.667 0.131 0.869
Sr4 0.667 0.369 0.369
Au1 0.338 0.659 0.371
Au2 0.338 0.841 0.871
Au3 0.662 0.159 0.129
Au4 0.662 0.341 0.629

(13)
Compound: NdSmPtBr
Source: Alexandria via LeMat-Bulk
Functional: PBE-GGA
Structure: optimized geometry

Properties
**Crystal system**: trigonal
**Formation energy (no corrections)**: -4.91 eV/f.u.
**Density**: 7.96 g/cm³
**Total magnetization**: 0.000 μB per atom

Cell lengths 4.181, 4.181, 23.541 Å; angles 90.00, 90.00, 120.00 degrees
Positions (direct):
Nd1 0.000 0.000 0.000
Nd2 0.333 0.667 0.667
Nd3 0.667 0.333 0.333
Sm1 0.000 0.000 0.203
Sm2 0.333 0.667 0.869
Sm3 0.667 0.333 0.536
Pt1 0.000 0.000 0.600
Pt2 0.333 0.667 0.267
Pt3 0.667 0.333 0.933
Br1 0.000 0.000 0.771
Br2 0.333 0.667 0.438
Br3 0.667 0.333 0.105

(14)
Compound: Ga2SbPt
Source: Alexandria via LeMat-Bulk
Functional: PBE-GGA
Structure: optimized geometry

Properties
**Crystal system**: tetragonal
**Formation energy (no corrections)**: -0.75 eV/f.u.
**Density**: 8.77 g/cm³
**Total magnetization**: 0.000 μB per atom

Cell lengths 4.552, 4.552, 16.680 Å; angles 90.00, 90.00, 90.00 degrees
Positions (direct):
Ga1 0.168 0.250 0.125
Ga2 0.250 0.668 0.375
Ga3 0.250 0.832 0.875
Ga4 0.332 0.250 0.625
Ga5 0.668 0.750 0.625
Ga6 0.750 0.168 0.875
Ga7 0.750 0.332 0.375
Ga8 0.832 0.750 0.125
Sb1 0.000 0.000 0.500
Sb2 0.000 0.500 0.750
Sb3 0.500 0.000 0.250
Sb4 0.500 0.500 0.000
Pt1 0.000 0.000 0.000
Pt2 0.000 0.500 0.250
Pt3 0.500 0.000 0.750
Pt4 0.500 0.500 0.500

(15)
Compound: Tb8Pm2Dy
Source: Alexandria via LeMat-Bulk
Functional: PBE-GGA
Structure: optimized geometry

Properties
**Crystal system**: monoclinic
**Excess energy over the best structure of this formula in the dataset**: 138 meV per atom
**Density**: 7.90 g/cm³
**Total magnetization**: 0.000 μB per atom

Cell lengths 9.270, 9.270, 5.910 Å; angles 105.47, 105.47, 121.60 degrees
Positions (direct):
Tb1 0.099 0.331 0.676
Tb2 0.207 0.793 0.000
Tb3 0.331 0.099 0.676
Tb4 0.426 0.426 0.205
Tb5 0.574 0.574 0.795
Tb6 0.669 0.901 0.324
Tb7 0.793 0.207 0.000
Tb8 0.901 0.669 0.324
Pm1 0.307 0.693 0.500
Pm2 0.693 0.307 0.500
Dy1 0.000 0.000 0.000

(16)
Compound: Co2HN
Source: Alexandria via LeMat-Bulk
Functional: PBE-GGA
Structure: optimized geometry

Properties
**Crystal system**: cubic
**Excess energy over the best structure of this formula in the dataset**: 524 meV per atom
**Density**: 7.68 g/cm³
**Total magnetization**: 0.000 μB per atom

Cell lengths 4.861, 4.861, 4.861 Å; angles 90.00, 90.00, 90.00 degrees
Positions (direct):
Co1 0.250 0.250 0.250
Co2 0.250 0.250 0.750
Co3 0.250 0.750 0.250
Co4 0.250 0.750 0.750
Co5 0.750 0.250 0.250
Co6 0.750 0.250 0.750
Co7 0.750 0.750 0.250
Co8 0.750 0.750 0.750
H1 0.000 0.000 0.000
H2 0.000 0.500 0.500
H3 0.500 0.000 0.500
H4 0.500 0.500 0.000
N1 0.000 0.000 0.500
N2 0.000 0.500 0.000
N3 0.500 0.000 0.000
N4 0.500 0.500 0.500

(17)
Compound: NaTlSn4
Source: Alexandria via LeMat-Bulk
Functional: PBE-GGA
Structure: optimized geometry

Properties
**Crystal system**: monoclinic
**Excess energy over the best structure of this formula in the dataset**: 0 meV per atom
**Density**: 7.04 g/cm³
**Total magnetization**: 0.000 μB per atom

Cell lengths 8.412, 9.447, 5.498 Å; angles 90.00, 130.74, 90.00 degrees
Positions (direct):
Na1 0.000 0.000 0.000
Na2 0.500 0.500 0.000
Tl1 0.000 0.500 0.500
Tl2 0.500 0.000 0.500
Sn1 0.248 0.168 0.749
Sn2 0.248 0.832 0.749
Sn3 0.252 0.332 0.251
Sn4 0.252 0.668 0.251
Sn5 0.748 0.332 0.749
Sn6 0.748 0.668 0.749
Sn7 0.752 0.168 0.251
Sn8 0.752 0.832 0.251

(18)
Compound: La2VInAg
Source: Alexandria via LeMat-Bulk
Functional: PBE-GGA
Structure: optimized geometry

Properties
**Uncorrected energy**: -3.87 eV/atom
**Crystal system**: tetragonal
**Density**: 5.07 g/cm³
**Total magnetization**: 0.052 μB per atom

Cell lengths 5.993, 5.993, 5.025 Å; angles 90.00, 90.00, 90.00 degrees
Positions (direct):
La1 0.000 0.500 0.000
La2 0.500 0.000 0.000
V1 0.000 0.000 0.500
In1 0.500 0.500 0.000
Ag1 0.500 0.500 0.500

(19)
Compound: P3Cl2
Source: Alexandria via LeMat-Bulk
Functional: PBE-GGA
Structure: optimized geometry

Properties
**Crystal system**: trigonal
**Formation energy (no corrections)**: 1.33 eV/f.u.
**Excess energy over the best structure of this formula in the dataset**: 0 meV per atom
**Density**: 2.14 g/cm³
**Total magnetization**: 0.048 μB per atom

Cell lengths 3.591, 3.591, 34.218 Å; angles 90.00, 90.00, 120.00 degrees
Positions (direct):
P1 0.000 0.000 0.000
P2 0.000 0.000 0.184
P3 0.000 0.000 0.816
P4 0.333 0.667 0.483
P5 0.333 0.667 0.667
P6 0.333 0.667 0.850
P7 0.667 0.333 0.150
P8 0.667 0.333 0.333
P9 0.667 0.333 0.517
Cl1 0.000 0.000 0.374
Cl2 0.000 0.000 0.626
Cl3 0.333 0.667 0.041
Cl4 0.333 0.667 0.292
Cl5 0.667 0.333 0.708
Cl6 0.667 0.333 0.959

(20)
Compound: PuCuBi2
Source: Alexandria via LeMat-Bulk
Functional: PBE-GGA
Structure: optimized geometry

Properties
**Uncorrected energy**: -6.64 eV/atom
**Crystal system**: tetragonal
**Density**: 11.99 g/cm³
**Total magnetization**: 1.355 μB per atom

Cell lengths 4.818, 4.818, 4.328 Å; angles 90.00, 90.00, 90.00 degrees
Positions (direct):
Pu1 0.000 0.000 0.000
Cu1 0.500 0.500 0.000
Bi1 0.000 0.500 0.500
Bi2 0.500 0.000 0.500

(21)
Compound: Eu2PaAu
Source: Alexandria via LeMat-Bulk
Functional: PBE-GGA
Structure: optimized geometry

Properties
**Uncorrected energy**: -8.30 eV/atom
**Crystal system**: trigonal
**Density**: 10.73 g/cm³
**Total magnetization**: 3.523 μB per atom

Cell lengths 3.515, 3.515, 31.751 Å; angles 90.00, 90.00, 120.00 degrees
Positions (direct):
Eu1 0.000 0.000 0.242
Eu2 0.000 0.000 0.758
Eu3 0.333 0.667 0.425
Eu4 0.333 0.667 0.908
Eu5 0.667 0.333 0.092
Eu6 0.667 0.333 0.575
Pa1 0.000 0.000 0.000
Pa2 0.333 0.667 0.667
Pa3 0.667 0.333 0.333
Au1 0.000 0.000 0.500
Au2 0.333 0.667 0.167
Au3 0.667 0.333 0.833

(22)
Compound: Rb2SnOsF6
Source: Alexandria via LeMat-Bulk
Functional: PBE-GGA
Structure: optimized geometry

Properties
**Crystal system**: cubic
**Formation energy (no corrections)**: -18.86 eV/f.u.
**Density**: 5.41 g/cm³
**Total magnetization**: 0.000 μB per atom

Cell lengths 6.366, 6.366, 6.366 Å; angles 60.00, 60.00, 60.00 degrees
Positions (direct):
Rb1 0.250 0.250 0.250
Rb2 0.750 0.750 0.750
Sn1 0.000 0.000 0.000
Os1 0.500 0.500 0.500
F1 0.262 0.262 0.738
F2 0.262 0.738 0.262
F3 0.262 0.738 0.738
F4 0.738 0.262 0.262
F5 0.738 0.262 0.738
F6 0.738 0.738 0.262

(23)
Compound: InNi9Ge3
Source: Alexandria via LeMat-Bulk
Functional: PBE-GGA
Structure: optimized geometry

Properties
**Uncorrected energy**: -5.25 eV/atom
**Crystal system**: triclinic
**Density**: 7.89 g/cm³
**Total magnetization**: 0.000 μB per atom

Cell lengths 4.959, 5.355, 6.838 Å; angles 92.35, 90.66, 93.04 degrees
Positions (direct):
In1 0.000 0.000 0.000
Ni1 0.000 0.500 0.500
Ni2 0.252 0.257 0.739
Ni3 0.257 0.730 0.254
Ni4 0.271 0.748 0.751
Ni5 0.500 0.000 0.500
Ni6 0.500 0.500 0.000
Ni7 0.729 0.252 0.249
Ni8 0.743 0.270 0.746
Ni9 0.748 0.743 0.261
Ge1 0.000 0.000 0.500
Ge2 0.000 0.500 0.000
Ge3 0.500 0.500 0.500

(24)
Compound: ZnCdIn2Ag
Source: Alexandria via LeMat-Bulk
Functional: PBE-GGA
Structure: optimized geometry

Properties
**Uncorrected energy**: -1.74 eV/atom
**Crystal system**: tetragonal
**Density**: 6.25 g/cm³
**Total magnetization**: 0.000 μB per atom

Cell lengths 5.194, 5.194, 5.072 Å; angles 90.00, 90.00, 90.00 degrees
Positions (direct):
Zn1 0.000 0.000 0.000
Cd1 0.000 0.000 0.500
In1 0.000 0.500 0.000
In2 0.500 0.000 0.000
Ag1 0.500 0.500 0.500

(25)
Compound: TmGa2Pd4
Source: Alexandria via LeMat-Bulk
Functional: PBE-GGA
Structure: optimized geometry

Properties
**Uncorrected energy**: -5.19 eV/atom
**Crystal system**: tetragonal
**Density**: 10.10 g/cm³
**Total magnetization**: 0.000 μB per atom

Cell lengths 7.855, 7.855, 3.914 Å; angles 90.00, 90.00, 90.00 degrees
Positions (direct):
Tm1 0.000 0.000 0.000
Tm2 0.500 0.500 0.500
Ga1 0.224 0.224 0.500
Ga2 0.276 0.724 0.000
Ga3 0.724 0.276 0.000
Ga4 0.776 0.776 0.500
Pd1 0.077 0.673 0.500
Pd2 0.173 0.423 0.000
Pd3 0.327 0.923 0.500
Pd4 0.423 0.173 0.000
Pd5 0.577 0.827 0.000
Pd6 0.673 0.077 0.500
Pd7 0.827 0.577 0.000
Pd8 0.923 0.327 0.500